# 1
An optimized crystal structure of Li5Ac2Hg3, computed with PBE.

POSCAR file:
```
Li5Ac2Hg3
1.0
4.926 0.000 -0.839
0.000 7.404 0.000
-0.236 0.000 13.495
Ac Li Hg
4 10 6
Cartesian
2.159 5.678 12.676
2.531 1.976 -0.020
3.907 1.763 8.059
0.783 5.465 4.597
1.722 3.534 10.106
2.969 7.236 2.550
0.578 1.909 3.393
0.243 4.216 1.426
4.447 0.513 11.230
1.229 3.624 7.212
4.112 5.611 9.263
1.365 6.383 8.012
3.325 2.681 4.644
3.462 7.326 5.444
1.030 1.180 6.044
4.433 3.481 11.147
3.661 4.882 6.612
1.758 0.550 10.321
0.257 7.183 1.509
2.932 4.252 2.335
```

SG   Cmc2_1
Calculated volume   245 Å³/f.u.
Total DFT energy (no corrections)   -2.150 eV/atom
Magnetization   0.00 μB per cell

***

# 2
An optimized crystal structure of TlZnRe2, computed with PBE.

POSCAR file:
```
TlZnRe2
1.0
-2.476 3.658 0.206
-2.427 -1.824 3.216
2.082 1.280 2.298
Zn Tl Re
1 1 2
Cartesian
-0.172 -0.272 2.757
-0.197 2.469 1.252
-2.452 0.917 1.711
0.000 0.000 0.000
```

Offset from the most stable computed form   2.945 eV per formula unit
SG   P4/mmm
Calculated volume   66 Å³/f.u.
Total DFT energy (no corrections)   -6.023 eV/atom
Magnetization   0.00 μB per cell

***

# 3
An optimized crystal structure of CeAlIr, computed with PBE.

POSCAR file:
```
CeAlIr
1.0
2.066 3.990 -0.107
-3.632 -0.719 -2.548
-4.016 2.217 5.100
Ce Ir Al
2 2 2
Cartesian
0.000 0.000 0.000
-2.008 1.108 2.550
-2.737 1.405 -0.459
-2.845 4.083 2.905
-4.745 2.513 2.091
-0.837 2.975 0.354
```

SG   P6_3/mmc
Calculated volume   60 Å³/f.u.
Total DFT energy (no corrections)   -6.926 eV/atom
Magnetization   0.00 μB per cell